The following is a PBE+U calculation of crystalline Ru2WF at its relaxed geometry, from the Alexandria database.

Cell lengths 6.592, 6.592, 5.322 Å; angles 90.00, 90.00, 90.00 degrees
Space group I-42d (No. 122)
Symmetry-distinct sites (fractional):
Ru1 0.223 0.250 0.125 x8
W1 0.000 0.000 0.500 x4
F1 0.000 0.000 0.000 x4

Output
- Excess energy over the best structure of this formula in the dataset: 128 meV/atom
- Total energy: -6.3772 eV/atom
- Volume: 231 Å³ per cell